The following is a DFT calculation (PBE with a Hubbard U) of an optimized crystal structure of NaCrOF2.

Results
**Crystal system**: tetragonal
**V**: 66.66 Å³/cell
**Energy above the lowest structure with this stoichiometry**: 120.87 kJ/mol of atoms

a = 3.9757 Å, b = 3.9757 Å, c = 4.2176 Å
α = 90.00°, β = 90.00°, γ = 90.00°
Last column: nearest neighbours and their distance in Å.
Space group P4/mmm (No. 123)
Asymmetric unit:
Na 0.0000 0.0000 0.0000 x1  4 F 1.99, 2 O 2.11
Cr 0.5000 0.5000 0.5000 x1  4 O 2.81, 8 F 2.90
O 0.0000 0.0000 0.5000 x1  2 Na 2.11
F 0.0000 0.5000 0.0000 x2  2 Na 1.99